This record from Alexandria via LeMat-Bulk describes crystalline Li7CoO3F3 at its relaxed geometry. The functional is PBE+U.

Output
As for the density of states at the Fermi level: 0.00 states/eV/cell. As for the space group: No. 1. For the total DFT energy (no corrections), the calculation gives -68.54 eV per cell.

```
Li7CoO3F3
1.0
5.288 0.010 -0.007
2.633 5.052 -0.011
2.051 1.680 5.108
Li F Co O
7 3 1 3
direct
0.445 0.145 0.634 Li
0.120 0.781 0.597 Li
0.885 0.228 0.340 Li
0.374 0.308 0.993 Li
0.522 0.884 0.375 Li
0.785 0.447 0.674 Li
0.607 0.762 0.994 Li
0.855 0.596 0.265 F
0.111 0.426 0.748 F
0.566 0.226 0.269 F
0.062 0.913 0.994 Co
0.228 0.959 0.216 O
0.426 0.752 0.752 O
0.775 0.079 0.762 O
```